# 1
The following is a DFT calculation (GGA-PBE) of a relaxed HoPaMnSe6 crystal.

Geometry as CIF:
```
data_HoPaMnSe6
_cell_length_a 6.6838
_cell_length_b 6.6838
_cell_length_c 6.1959
_cell_angle_alpha 90.00
_cell_angle_beta 90.00
_cell_angle_gamma 120.00
_symmetry_space_group_name_H-M 'P 3 1 2'
_symmetry_Int_Tables_number 149
_symmetry_space_group_name_Hall 'P 3 2'
loop_
_atom_site_label
_atom_site_fract_x
_atom_site_fract_y
_atom_site_fract_z
Ho1 0.0000 0.0000 0.0000
Pa1 0.6667 0.3333 0.5000
Mn1 0.3333 0.6667 0.0000
Se1 0.0236 0.3671 0.2414
```

**Formation energy from raw total energies**: -844.6 kJ/mol of formula units
**Total moment**: 3.01 μB/f.u.
**Calculated total energy**: -52.90 eV/cell


# 2
The following is a DFT calculation (GGA-PBE) of a relaxed PmPr12Ho7 crystal.

Geometry as CIF:
```
data_PmPr12Ho7
_cell_length_a 15.3492
_cell_length_b 15.3492
_cell_length_c 10.2146
_cell_angle_alpha 90.00
_cell_angle_beta 90.00
_cell_angle_gamma 120.00
_symmetry_space_group_name_H-M 'R -3'
_symmetry_Int_Tables_number 148
_symmetry_space_group_name_Hall '-R 3'
loop_
_atom_site_label
_atom_site_fract_x
_atom_site_fract_y
_atom_site_fract_z
Pm1 0.0000 0.0000 0.0000
Pr1 0.0433 0.1992 0.2520
Pr2 0.0462 0.2486 0.5767
Ho1 0.0000 0.0000 0.5000
Ho2 0.0666 0.2452 0.9259
```

**Formation energy**: 278 kJ/mol of formula units
**Total moment**: 0.00 μB/f.u.
**Calculated total energy**: -273.81 eV/cell


# 3
The following is a DFT calculation (GGA-PBE) of a relaxed TiS8 crystal.

Geometry as CIF:
```
data_TiS8
_cell_length_a 7.7341
_cell_length_b 11.0293
_cell_length_c 13.8105
_cell_angle_alpha 90.00
_cell_angle_beta 90.00
_cell_angle_gamma 90.00
_symmetry_space_group_name_H-M 'F m m m'
_symmetry_Int_Tables_number 69
_symmetry_space_group_name_Hall '-F 2 2'
loop_
_atom_site_label
_atom_site_fract_x
_atom_site_fract_y
_atom_site_fract_z
Ti1 0.0000 0.0000 0.0000
S1 0.0000 0.0000 0.3946
S2 0.0000 0.0959 0.1479
S3 0.0000 0.1401 0.5000
```

**Formation energy from raw total energies**: 164.1 kJ/mol of formula units
**Total moment**: 1.70 μB/f.u.
**Calculated total energy**: -156.86 eV/cell


# 4
The following is a DFT calculation (GGA-PBE) of a relaxed Te2RuO crystal.

Geometry as CIF:
```
data_Te2RuO
_cell_length_a 4.1419
_cell_length_b 4.1419
_cell_length_c 19.0493
_cell_angle_alpha 90.00
_cell_angle_beta 90.00
_cell_angle_gamma 120.00
_symmetry_space_group_name_H-M 'R -3 m'
_symmetry_Int_Tables_number 166
_symmetry_space_group_name_Hall '-R 3 2"'
loop_
_atom_site_label
_atom_site_fract_x
_atom_site_fract_y
_atom_site_fract_z
Te1 0.0000 0.0000 0.1046
Ru1 0.0000 0.0000 0.5000
O1 0.0000 0.0000 0.0000
```

**Formation energy from raw total energies**: -94.1 kJ/mol of formula units
**Total moment**: 0.00 μB/f.u.
**Calculated total energy**: -64.48 eV/cell


# 5
The following is a DFT calculation (GGA-PBE) of a relaxed LiTcSb2 crystal.

Geometry as CIF:
```
data_LiTcSb2
_cell_length_a 4.6954
_cell_length_b 4.6954
_cell_length_c 3.3607
_cell_angle_alpha 90.00
_cell_angle_beta 90.00
_cell_angle_gamma 90.00
_symmetry_space_group_name_H-M 'P 4/m m m'
_symmetry_Int_Tables_number 123
_symmetry_space_group_name_Hall '-P 4 2'
loop_
_atom_site_label
_atom_site_fract_x
_atom_site_fract_y
_atom_site_fract_z
Li1 0.0000 0.0000 0.0000
Tc1 0.5000 0.5000 0.0000
Sb1 0.0000 0.5000 0.5000
```

**Formation energy from raw total energies**: 35.1 kJ/mol of formula units
**Total moment**: 0.00 μB/f.u.
**Calculated total energy**: -20.16 eV/cell


# 6
The following is a DFT calculation (GGA-PBE) of a relaxed NaTaSi2O8 crystal.

Geometry as CIF:
```
data_NaTaSi2O8
_cell_length_a 6.7278
_cell_length_b 6.7278
_cell_length_c 5.9087
_cell_angle_alpha 90.00
_cell_angle_beta 90.00
_cell_angle_gamma 90.00
_symmetry_space_group_name_H-M 'I -4 m 2'
_symmetry_Int_Tables_number 119
_symmetry_space_group_name_Hall 'I -4 -2'
loop_
_atom_site_label
_atom_site_fract_x
_atom_site_fract_y
_atom_site_fract_z
Na1 0.0000 0.0000 0.0000
Ta1 0.0000 0.5000 0.7500
Si1 0.0000 0.0000 0.5000
Si2 0.0000 0.5000 0.2500
O1 0.0000 0.2046 0.6530
O2 0.0000 0.3226 0.0600
```

**Formation energy from raw total energies**: -2486.5 kJ/mol of formula units
**Total moment**: 2.04 μB/f.u.
**Calculated total energy**: -178.91 eV/cell


# 7
The following is a DFT calculation (GGA-PBE) of a relaxed LiYIn2Ag4 crystal.

Geometry as CIF:
```
data_LiYIn2Ag4
_cell_length_a 4.8316
_cell_length_b 4.8316
_cell_length_c 23.8868
_cell_angle_alpha 90.00
_cell_angle_beta 90.00
_cell_angle_gamma 120.00
_symmetry_space_group_name_H-M 'R -3 m'
_symmetry_Int_Tables_number 166
_symmetry_space_group_name_Hall '-R 3 2"'
loop_
_atom_site_label
_atom_site_fract_x
_atom_site_fract_y
_atom_site_fract_z
Li1 0.0000 0.0000 0.0000
Y1 0.0000 0.0000 0.5000
In1 0.0000 0.0000 0.2484
Ag1 0.0000 0.0000 0.1133
Ag2 0.0000 0.0000 0.3695
```

**Formation energy**: -199 kJ/mol of formula units
**Total moment**: 0.00 μB/f.u.
**Calculated total energy**: -81.97 eV/cell


# 8
The following is a DFT calculation (GGA-PBE) of a relaxed PrDy4Ho10 crystal.

Geometry as CIF:
```
data_PrDy4Ho10
_cell_length_a 9.7678
_cell_length_b 9.7678
_cell_length_c 10.7487
_cell_angle_alpha 90.00
_cell_angle_beta 90.00
_cell_angle_gamma 90.00
_symmetry_space_group_name_H-M 'I 4/m'
_symmetry_Int_Tables_number 87
_symmetry_space_group_name_Hall '-I 4'
loop_
_atom_site_label
_atom_site_fract_x
_atom_site_fract_y
_atom_site_fract_z
Pr1 0.0000 0.0000 0.0000
Dy1 0.0540 0.7101 0.5000
Ho1 0.0000 0.5000 0.2500
Ho2 0.1219 0.7804 0.1695
```

**Formation energy**: 695 kJ/mol of formula units
**Total moment**: 0.00 μB/f.u.
**Calculated total energy**: -123.52 eV/cell